1.
The following is a PBE calculation of a geometry-optimized Ti3ReC structure, from Alexandria.

Cell: 4.146 4.146 4.146 Å, 90.00 90.00 90.00°
Space group Pm-3m (No. 221)
One atom of each set of equivalent atoms:
Ti: 0.000 0.000 0.500
Re: 0.500 0.500 0.500
C: 0.000 0.000 0.000

## Properties
Uncorrected energy   -46.8 eV per cell
Formation enthalpy at 0 K   -6.817 kcal/mol of atoms
Density   8.0 Mg/m³
Magnetization   0.000 μB/atom

***

2.
The following is a PBE calculation of a geometry-optimized Ti3ReC structure, from Alexandria.

Cell: 4.711 4.711 4.711 Å, 90.00 90.00 90.00°
Space group Pm-3m (No. 221)
One atom of each set of equivalent atoms:
Ti: 0.000 0.000 0.500
Re: 0.000 0.000 0.000
C: 0.500 0.500 0.500

## Properties
Uncorrected energy   -36.3 eV per cell
Formation enthalpy at 0 K   41.606 kcal/mol of atoms
Density   5.4 Mg/m³
Magnetization   0.462 μB/atom

***

3.
The following is a PBE calculation of a geometry-optimized TiRe3C structure, from Alexandria.

Cell: 4.535 4.535 4.535 Å, 90.00 90.00 90.00°
Space group Pm-3m (No. 221)
One atom of each set of equivalent atoms:
Ti: 0.000 0.000 0.000
Re: 0.000 0.000 0.500
C: 0.500 0.500 0.500

## Properties
Uncorrected energy   -38.1 eV per cell
Formation enthalpy at 0 K   75.684 kcal/mol of atoms
Density   11.0 Mg/m³
Magnetization   0.003 μB/atom

***

4.
The following is a PBE calculation of a geometry-optimized TiRe3C structure, from Alexandria.

Cell: 4.099 4.099 4.099 Å, 90.00 90.00 90.00°
Space group Pm-3m (No. 221)
One atom of each set of equivalent atoms:
Ti: 0.000 0.000 0.000
Re: 0.000 0.500 0.500
C: 0.500 0.500 0.500

## Properties
Uncorrected energy   -54.3 eV per cell
Formation enthalpy at 0 K   0.531 kcal/mol of atoms
Density   14.9 Mg/m³
Magnetization   0.000 μB/atom

***

The lowest density belongs to which entry?
number 2

***

Among the records above, which one has the lowest formation enthalpy at 0 K?
number 1